VASP calculation (PBE+U) on a relaxed CsCr2GaO8 crystal.

abc: 5.317 5.317 8.519
angles: 90.00 90.00 120.00
Element x y z (fractional)
Cs  0.000  0.000  0.000
Cr  0.333  0.667  0.699
Cr  0.667  0.333  0.301
Ga  0.000  0.000  0.500
O  0.085  0.333  0.638
O  0.248  0.915  0.638
O  0.333  0.248  0.362
O  0.333  0.667  0.890
O  0.667  0.333  0.110
O  0.667  0.752  0.638
O  0.752  0.085  0.362
O  0.915  0.667  0.362

Calculated values
Raw total energy   -6.350 eV per atom
Space-group type   P-3 (147)